# 1
! CdGe2Pd8, optimized geometry, DFT GGA-PBE; values from VASP
&SYSTEM
  ibrav = 0, nat = 11, ntyp = 3
/
ATOMIC_SPECIES
Ge 72.64 Ge.upf
Pd 106.42 Pd.upf
Cd 112.41 Cd.upf
CELL_PARAMETERS angstrom
-0.6812 2.5453 3.7398
-1.3622 -6.0626 2.5000
6.5651 1.0049 -0.8661
ATOMIC_POSITIONS angstrom
Ge 4.0444 -1.2424 0.2042
Ge 1.1586 -3.8153 1.4296
Pd 0.2177 -3.0778 3.5544
Pd 4.3040 0.5653 1.8193
Pd 1.5522 -0.2240 3.1852
Pd 1.9528 0.1195 0.2610
Pd 4.5420 -0.8729 4.2749
Pd 2.5689 -2.6320 5.1127
Pd 2.9695 -2.2885 2.1884
Pd -0.0203 -1.6396 1.0988
Cd -0.3406 1.2726 1.8699
! Total magnetization: 0.00 μB per cell
! Raw total energy: -5.05 eV per atom
! Symmetry: C2/m (12)
! Distance to the lowest polymorph of the same formula: 32.7 meV/atom
! Energy relative to the elements: -0.3543 eV/atom

=====

# 2
! Cd2Ge2Pd, optimized geometry, DFT GGA-PBE; values from VASP
&SYSTEM
  ibrav = 0, nat = 10, ntyp = 3
/
ATOMIC_SPECIES
Cd 112.41 Cd.upf
Ge 72.64 Ge.upf
Pd 106.42 Pd.upf
CELL_PARAMETERS angstrom
7.2325 0.0000 0.0000
0.0000 7.2325 0.0000
0.0000 0.0000 3.9527
ATOMIC_POSITIONS angstrom
Cd 1.0641 2.5522 0.0000
Cd 6.1685 4.6803 0.0000
Cd 4.6803 1.0641 0.0000
Cd 2.5522 6.1685 0.0000
Ge 6.0924 2.4761 1.9763
Ge 4.7564 6.0924 1.9763
Ge 1.1402 4.7564 1.9763
Ge 2.4761 1.1402 1.9763
Pd 0.0000 0.0000 0.0000
Pd 3.6163 3.6163 0.0000
! Total magnetization: 0.00 μB per cell
! Raw total energy: -3.04 eV per atom
! Symmetry: P4/mbm (127)
! Distance to the lowest polymorph of the same formula: 248.9 meV/atom
! Energy relative to the elements: 0.2077 eV/atom

=====

# 3
! CdGe2Pd8, optimized geometry, DFT GGA-PBE; values from VASP
&SYSTEM
  ibrav = 0, nat = 11, ntyp = 3
/
ATOMIC_SPECIES
Cd 112.41 Cd.upf
Pd 106.42 Pd.upf
Ge 72.64 Ge.upf
CELL_PARAMETERS angstrom
-2.6276 2.0722 -2.2923
-5.3350 -3.5220 2.9315
3.5500 5.0258 4.0626
ATOMIC_POSITIONS angstrom
Cd -1.3138 1.0361 -1.1462
Pd -5.2978 -0.0800 2.4117
Pd -0.1303 1.2993 1.3238
Pd 0.8853 3.6559 2.2901
Pd -4.2823 2.2767 3.3780
Pd -2.7931 4.6450 3.8118
Pd -2.9495 1.4704 1.1214
Pd -1.6195 -1.0691 0.8899
Pd -1.4631 2.1056 3.5804
Ge -1.5877 3.7680 1.6374
Ge -2.8249 -0.1921 3.0644
! Total magnetization: 0.00 μB per cell
! Raw total energy: -5.09 eV per atom
! Symmetry: Immm (71)
! Distance to the lowest polymorph of the same formula: 0.0 meV/atom
! Energy relative to the elements: -0.3870 eV/atom

=====

# 4
! Cd2GePd, optimized geometry, DFT GGA-PBE; values from VASP
&SYSTEM
  ibrav = 0, nat = 4, ntyp = 3
/
ATOMIC_SPECIES
Ge 72.64 Ge.upf
Cd 112.41 Cd.upf
Pd 106.42 Pd.upf
CELL_PARAMETERS angstrom
3.6042 0.0000 0.0000
0.0000 3.6042 0.0000
0.0000 0.0000 5.8244
ATOMIC_POSITIONS angstrom
Ge 1.8021 1.8021 2.9122
Cd 0.0000 0.0000 4.4095
Cd 0.0000 0.0000 1.4149
Pd 1.8021 1.8021 0.0000
! Total magnetization: 0.00 μB per cell
! Raw total energy: -3.01 eV per atom
! Symmetry: P4/mmm (123)
! Energy relative to the elements: -0.0996 eV/atom

=====

# 5
! Cd6GePd12, optimized geometry, DFT GGA-PBE; values from VASP
&SYSTEM
  ibrav = 0, nat = 19, ntyp = 3
/
ATOMIC_SPECIES
Pd 106.42 Pd.upf
Cd 112.41 Cd.upf
Ge 72.64 Ge.upf
CELL_PARAMETERS angstrom
-1.4309 -6.0252 -3.5126
4.5551 1.1827 -5.3424
5.3699 -3.7514 2.7894
ATOMIC_POSITIONS angstrom
Pd -0.0161 -2.2623 -0.9201
Pd 5.5469 -5.4433 -1.0350
Pd 6.3789 -7.4633 -6.5267
Pd 2.7403 -5.8434 -1.5053
Pd 7.1239 -8.4769 -4.0473
Pd 5.7538 -2.7506 -4.5603
Pd 5.8305 -2.6594 -1.6891
Pd 2.6635 -5.9346 -4.3766
Pd 2.9472 -3.1507 -5.0306
Pd 8.5101 -6.3317 -5.1456
Pd 2.1151 -1.1307 0.4611
Pd 1.3701 -0.1170 -2.0184
Cd 7.1296 -4.6286 -3.2112
Cd 3.6770 -3.4818 -0.3012
Cd 3.7383 -1.4359 -3.1140
Cd 4.7557 -7.1581 -2.9516
Cd 1.3645 -3.9654 -2.8545
Cd 4.8171 -5.1122 -5.7644
Ge 0.0000 0.0000 0.0000
! Total magnetization: 0.00 μB per cell
! Raw total energy: -3.98 eV per atom
! Symmetry: R-3 (148)
! Energy relative to the elements: -0.1703 eV/atom

=====

# 6
! Cd2GePd8, optimized geometry, DFT GGA-PBE; values from VASP
&SYSTEM
  ibrav = 0, nat = 11, ntyp = 3
/
ATOMIC_SPECIES
Pd 106.42 Pd.upf
Ge 72.64 Ge.upf
Cd 112.41 Cd.upf
CELL_PARAMETERS angstrom
-3.8757 1.4339 -2.0010
-0.9618 -5.4301 -2.0282
-1.0358 0.5185 7.6453
ATOMIC_POSITIONS angstrom
Pd -5.6307 -2.1126 4.1246
Pd -1.2331 -0.5278 2.0101
Pd -2.7343 -2.3740 3.5949
Pd -0.2425 -1.3652 -0.5085
Pd -2.2771 0.2243 4.5711
Pd -3.1389 -1.1037 0.0212
Pd -3.5962 -3.7021 -0.9550
Pd -4.6402 -2.9499 1.6060
Ge -1.9378 0.7169 -1.0005
Cd -1.7671 -3.2677 1.0810
Cd -4.1062 -0.2101 2.5351
! Total magnetization: 0.00 μB per cell
! Raw total energy: -4.66 eV per atom
! Symmetry: C2/m (12)
! Energy relative to the elements: -0.2992 eV/atom